PBE with a Hubbard U BaEuVBiO6, relaxed; E_tot = -74.06 eV/cell
1.0
0.000 4.209 4.209
4.209 0.000 4.209
4.209 4.209 0.000
Ba Eu V Bi O
1 1 1 1 6
Direct
0.000 0.000 0.000 Ba
0.500 0.500 0.500 Eu
0.750 0.750 0.750 V
0.250 0.250 0.250 Bi
0.523 0.523 0.977 O
0.523 0.977 0.523 O
0.523 0.977 0.977 O
0.977 0.523 0.523 O
0.977 0.523 0.977 O
0.977 0.977 0.523 O